LuInPb2 | PBE-GGA | optimized geometry

- theoretical density (g cm⁻³) = 10.25
- electronic total energy (eV/f.u.) = -14.91

```
data_LuInPb2
_chemical_formula_sum 'Lu4 In4 Pb8'
_space_group_name_H-M_alt 'F -4 3 m'
_space_group_IT_number 216
_space_group_name_Hall 'F -4 2 3'
_cell_length_a 7.698
_cell_length_b 7.698
_cell_length_c 7.698
_cell_angle_alpha 90.00
_cell_angle_beta 90.00
_cell_angle_gamma 90.00
loop_
_atom_site_label
_atom_site_type_symbol
_atom_site_fract_x
_atom_site_fract_y
_atom_site_fract_z
_atom_site_occupancy
Lu1 Lu 0.000 0.000 0.000 1
In1 In 0.250 0.250 0.750 1
Pb1 Pb 0.000 0.000 0.500 1
Pb2 Pb 0.250 0.250 0.250 1
```

=====

LuInPbS3 | PBE-GGA | optimized geometry

- theoretical density (g cm⁻³) = 6.30
- electronic total energy (eV/f.u.) = -29.45

```
data_LuInPbS3
_chemical_formula_sum 'Lu4 In4 Pb4 S12'
_space_group_name_H-M_alt 'C m c m'
_space_group_IT_number 63
_space_group_name_Hall '-C 2c 2'
_cell_length_a 3.890
_cell_length_b 14.717
_cell_length_c 10.917
_cell_angle_alpha 90.00
_cell_angle_beta 90.00
_cell_angle_gamma 90.00
loop_
_atom_site_label
_atom_site_type_symbol
_atom_site_fract_x
_atom_site_fract_y
_atom_site_fract_z
_atom_site_occupancy
Lu1 Lu 0.000 0.000 0.000 1
In1 In 0.000 0.361 0.250 1
Pb1 Pb 0.000 0.319 0.750 1
S1 S 0.000 0.013 0.750 1
S2 S 0.000 0.375 0.503 1
```

=====

LuInPbSe3 | PBE-GGA | optimized geometry

- theoretical density (g cm⁻³) = 7.18
- electronic total energy (eV/f.u.) = -26.95

```
data_LuInPbSe3
_chemical_formula_sum 'Lu4 In4 Pb4 Se12'
_space_group_name_H-M_alt 'C m c m'
_space_group_IT_number 63
_space_group_name_Hall '-C 2c 2'
_cell_length_a 4.018
_cell_length_b 14.749
_cell_length_c 11.451
_cell_angle_alpha 90.00
_cell_angle_beta 90.00
_cell_angle_gamma 90.00
loop_
_atom_site_label
_atom_site_type_symbol
_atom_site_fract_x
_atom_site_fract_y
_atom_site_fract_z
_atom_site_occupancy
Lu1 Lu 0.000 0.000 0.000 1
In1 In 0.000 0.360 0.250 1
Pb1 Pb 0.000 0.318 0.750 1
Se1 Se 0.000 0.005 0.750 1
Se2 Se 0.000 0.368 0.503 1
```